No. 1
A plane-wave DFT calculation with PBE-GGA was carried out for crystalline NpIrBrO6 at its relaxed geometry.

Calculated values
Its magnetic moment is 0.000 μB/cell. The value obtained for the energy relative to the elements, uncorrected is -1.342 eV per atom. For the final energy, the calculation gives -7.256 eV per atom. For the calculated density, the calculation gives 6555 kg/m3. For the density of states at the Fermi level, the calculation gives 5.0 states/eV/f.u.

Cell: 7.5454 7.5454 7.5454 Å, 121.49 116.99 91.36°
With the nearest neighbours (Å) after each atom.
Element x y z (fractional)
Np1 0.0000 0.0000 0.0000  6 O 2.01-2.09
Np2 0.5000 0.0000 0.5000  6 O 2.01-2.09
Ir1 0.5000 0.0000 0.0000  6 O 1.97-2.02
Ir2 0.5000 0.5000 0.5000  6 O 1.97-2.02
Br1 0.2389 0.4889 0.7500  1 O 1.93
Br2 0.7611 0.5111 0.2500  1 O 1.93
O1 0.1832 0.9332 0.2500  2 Np 2.09
O2 0.1991 0.3145 0.2584  1 Ir 1.97, 1 Np 2.01
O3 0.1991 0.9407 0.8846  1 Ir 1.97, 1 Np 2.01
O4 0.4219 0.6719 0.7500  1 Br 1.93, 2 Ir 2.02
O5 0.4439 0.0593 0.7584  1 Ir 1.97, 1 Np 2.01
O6 0.4439 0.6855 0.3846  1 Ir 1.97, 1 Np 2.01
O7 0.5561 0.3145 0.6154  1 Ir 1.97, 1 Np 2.01
O8 0.5561 0.9407 0.2416  1 Ir 1.97, 1 Np 2.01
O9 0.5781 0.3281 0.2500  1 Br 1.93, 2 Ir 2.02
O10 0.8009 0.0593 0.1154  1 Ir 1.97, 1 Np 2.01
O11 0.8009 0.6855 0.7416  1 Ir 1.97, 1 Np 2.01
O12 0.8168 0.0668 0.7500  2 Np 2.09

=====

No. 2
A plane-wave DFT calculation with PBE-GGA was carried out for crystalline IrBrO3 at its relaxed geometry.

Calculated values
Its magnetic moment is 0.000 μB/cell. The value obtained for the energy relative to the elements, uncorrected is 0.109 eV per atom. For the final energy, the calculation gives -4.972 eV per atom. For the calculated density, the calculation gives 8881 kg/m3. For the density of states at the Fermi level, the calculation gives 5.4 states/eV/f.u.

Cell: 3.9117 3.9117 3.9117 Å, 90.00 90.00 90.00°
With the nearest neighbours (Å) after each atom.
Element x y z (fractional)
Ir1 0.0000 0.0000 0.0000  6 O 1.96
Br1 0.5000 0.5000 0.5000  12 O 2.77
O1 0.0000 0.0000 0.5000  2 Ir 1.96
O2 0.0000 0.5000 0.0000  2 Ir 1.96
O3 0.5000 0.0000 0.0000  2 Ir 1.96

=====

No. 3
A plane-wave DFT calculation with PBE-GGA was carried out for crystalline IrBrO2 at its relaxed geometry.

Calculated values
Its magnetic moment is 0.000 μB/cell. The value obtained for the energy relative to the elements, uncorrected is 0.082 eV per atom. For the final energy, the calculation gives -5.030 eV per atom. The value obtained for the energy above the lowest structure with this stoichiometry is 184 meV/atom. For the calculated density, the calculation gives 6054 kg/m3. For the density of states at the Fermi level, the calculation gives 3.4 states/eV/f.u.

Cell: 10.5820 10.5820 10.5820 Å, 16.51 16.51 16.51°
With the nearest neighbours (Å) after each atom.
Element x y z (fractional)
Ir1 0.0000 0.0000 0.0000  2 O 1.72
Br1 0.5000 0.5000 0.5000  6 Br 3.04
O1 0.0551 0.0551 0.0551  1 Ir 1.72
O2 0.9449 0.9449 0.9449  1 Ir 1.72

=====

No. 4
A plane-wave DFT calculation with PBE-GGA was carried out for crystalline Ir2BrO2 at its relaxed geometry.

Calculated values
Its magnetic moment is 0.000 μB/cell. The value obtained for the energy relative to the elements, uncorrected is 0.543 eV per atom. For the final energy, the calculation gives -5.320 eV per atom. The value obtained for the energy above the lowest structure with this stoichiometry is 127 meV/atom. For the calculated density, the calculation gives 11984 kg/m3. For the density of states at the Fermi level, the calculation gives 6.1 states/eV/f.u.

Cell: 5.4448 5.4448 5.4448 Å, 139.01 139.01 59.36°
With the nearest neighbours (Å) after each atom.
Element x y z (fractional)
Ir1 0.1390 0.1390 0.0000  4 O 2.18
Ir2 0.8610 0.8610 0.0000  4 O 2.18
Br1 0.5000 0.5000 0.0000  8 Ir 3.00, 8 O 3.04
O1 0.2500 0.7500 0.5000  4 Ir 2.18
O2 0.7500 0.2500 0.5000  4 Ir 2.18

=====

No. 5
A plane-wave DFT calculation with PBE-GGA was carried out for crystalline IrBrO at its relaxed geometry.

Calculated values
Its magnetic moment is 0.000 μB/cell. The value obtained for the energy relative to the elements, uncorrected is 0.033 eV per atom. For the final energy, the calculation gives -5.131 eV per atom. For the calculated density, the calculation gives 7473 kg/m3. For the density of states at the Fermi level, the calculation gives 0.9 states/eV/f.u.

Cell: 6.1379 6.1379 5.8869 Å, 90.00 90.00 120.00°
With the nearest neighbours (Å) after each atom.
Element x y z (fractional)
Ir1 0.0000 0.1525 0.3333  2 O 1.95
Ir2 0.1525 0.0000 0.6667  2 O 1.95
Ir3 0.8475 0.8475 0.0000  2 O 1.95
Br1 0.0000 0.6720 0.3333  2 Ir 2.63
Br2 0.3280 0.3280 0.0000  2 Ir 2.63
Br3 0.6720 0.0000 0.6667  2 Ir 2.63
O1 0.0000 0.6839 0.8333  2 Ir 1.95
O2 0.3161 0.3161 0.5000  2 Ir 1.95
O3 0.6839 0.0000 0.1667  2 Ir 1.95

=====

No. 6
A plane-wave DFT calculation with PBE-GGA was carried out for crystalline IrBrO2 at its relaxed geometry.

Calculated values
Its magnetic moment is 0.948 μB/cell. The value obtained for the energy relative to the elements, uncorrected is 1.228 eV per atom. For the final energy, the calculation gives -3.885 eV per atom. The value obtained for the energy above the lowest structure with this stoichiometry is 1329 meV/atom. For the calculated density, the calculation gives 10560 kg/m3. For the density of states at the Fermi level, the calculation gives 5.0 states/eV/f.u.

Cell: 4.0743 4.0743 4.0743 Å, 60.00 60.00 60.00°
With the nearest neighbours (Å) after each atom.
Element x y z (fractional)
Ir1 0.0000 0.0000 0.0000  8 O 2.49
Br1 0.5000 0.5000 0.5000  8 O 2.49
O1 0.2500 0.2500 0.2500  4 Br 2.49, 4 Ir 2.49
O2 0.7500 0.7500 0.7500  4 Br 2.49, 4 Ir 2.49

=====

No. 7
A plane-wave DFT calculation with PBE-GGA was carried out for crystalline Ir2BrO at its relaxed geometry.

Calculated values
Its magnetic moment is 0.000 μB/cell. The value obtained for the energy relative to the elements, uncorrected is 1.249 eV per atom. For the final energy, the calculation gives -4.839 eV per atom. The value obtained for the energy above the lowest structure with this stoichiometry is 673 meV/atom. For the calculated density, the calculation gives 14384 kg/m3. For the density of states at the Fermi level, the calculation gives 5.3 states/eV/f.u.

Cell: 4.2803 4.2803 4.2803 Å, 60.00 60.00 60.00°
With the nearest neighbours (Å) after each atom.
Element x y z (fractional)
Ir1 0.2500 0.2500 0.2500  4 O 2.62, 4 Br 2.62
Ir2 0.7500 0.7500 0.7500  4 O 2.62, 4 Br 2.62
Br1 0.0000 0.0000 0.0000  8 Ir 2.62
O1 0.5000 0.5000 0.5000  8 Ir 2.62

=====

No. 8
A plane-wave DFT calculation with PBE-GGA was carried out for crystalline IrBrO2 at its relaxed geometry.

Calculated values
Its magnetic moment is 0.000 μB/cell. The value obtained for the energy relative to the elements, uncorrected is -0.102 eV per atom. For the final energy, the calculation gives -5.214 eV per atom. The value obtained for the energy above the lowest structure with this stoichiometry is 0 meV/atom. For the calculated density, the calculation gives 9034 kg/m3. For the density of states at the Fermi level, the calculation gives 0.1 states/eV/f.u.

Cell: 6.2382 6.2382 6.2382 Å, 30.64 30.64 30.64°
With the nearest neighbours (Å) after each atom.
Element x y z (fractional)
Ir1 0.0000 0.0000 0.0000  6 O 2.09
Br1 0.5000 0.5000 0.5000  2 O 2.10
O1 0.3824 0.3824 0.3824  3 Ir 2.09, 1 Br 2.10
O2 0.6176 0.6176 0.6176  3 Ir 2.09, 1 Br 2.10